Record 1
# RbTeIrN2

An optimized crystal structure of RbTeIrN2 (GGA-PBE, Alexandria).

The space group is P4/mmm (No. 123) and the conventional cell measures 4.3161, 4.3161 and 7.1206 Å, with angles of 90.00, 90.00 and 90.00 degrees. The inequivalent atoms are Rb at (0.0000, 0.0000, 0.0000), Te at (0.0000, 0.0000, 0.5000), Ir at (0.5000, 0.5000, 0.5000) and N at (0.0000, 0.5000, 0.0000).

For the density of states at the Fermi level, the calculation gives 4.40 states/eV/f.u. For the total moment, the calculation gives 4.8 μB/cell. For the volume, the calculation gives 26.53 A^3/atom.

---

Record 2
# ReIrN2

An optimized crystal structure of ReIrN2 (GGA-PBE, Alexandria).

The space group is I-42d (No. 122) and the conventional cell measures 4.0540, 4.0540 and 11.4522 Å, with angles of 90.00, 90.00 and 90.00 degrees. The inequivalent atoms are Re at (0.0000, 0.0000, 0.0000), Ir at (0.0000, 0.0000, 0.5000) and N at (0.2331, 0.2500, 0.1250).

For the density of states at the Fermi level, the calculation gives 2.35 states/eV/f.u. For the total moment, the calculation gives 0.0 μB/cell. For the volume, the calculation gives 11.76 A^3/atom.

---

Number 1: total DFT energy (no corrections) -2.968 eV per atom. Number 2: total DFT energy (no corrections) -9.025 eV per atom.